--- A ---
## TaC2 (GGA-PBEsol)

Data for an optimized crystal structure of TaC2.

Cell lengths 3.198, 3.198, 3.023 Å; angles 90.00, 90.00, 120.00 degrees
Sites, in units of the cell vectors:
1 Ta 0.000 0.000 0.000
2 C 0.333 0.667 0.500
3 C 0.667 0.333 0.500

V = 8.9 Å³/atom
SG = P6/mmm
N(E_F) = 0.50 states/eV/atom



--- B ---
## TaC2 (GGA-PBEsol)

Data for an optimized crystal structure of TaC2.

Cell lengths 7.280, 7.280, 7.280 Å; angles 158.32, 158.32, 30.85 degrees
Sites, in units of the cell vectors:
1 Ta 0.375 0.625 0.750
2 Ta 0.625 0.375 0.250
3 C 0.028 0.778 0.250
4 C 0.222 0.972 0.250
5 C 0.778 0.028 0.750
6 C 0.972 0.222 0.750

V = 8.8 Å³/atom
SG = I4_1/amd
N(E_F) = 0.47 states/eV/atom



Most stable: B (next structure +49.2 kJ/mol of atoms)